No. 1
Entry from Alexandria: BaPuThN3 after structural relaxation (PBE).

Size of the total moment, μB/atom: 0.83
Total energy, eV/atom: -9.0597

a = 3.8246 Å, b = 7.9084 Å, c = 9.1808 Å
α = 96.63°, β = 90.00°, γ = 90.00°
With the nearest neighbours (Å) after each atom.
Element x y z (fractional)
1 Ba 0.7500 0.8415 0.8456  5 N 2.85-3.11
2 Ba 0.2500 0.1585 0.1544  5 N 2.85-3.11
3 Pu 0.2500 0.0986 0.6064  3 N 2.15-2.17
4 Pu 0.7500 0.9014 0.3936  3 N 2.15-2.17
5 Th 0.2500 0.6226 0.1477  6 N 2.34-2.61
6 Th 0.7500 0.3774 0.8523  6 N 2.34-2.61
7 N 0.2500 0.7794 0.3989  2 Pu 2.15
8 N 0.7500 0.8488 0.1562  1 Pu 2.17
9 N 0.7500 0.4226 0.1089  3 Th 2.34-2.48
10 N 0.7500 0.2206 0.6011  2 Pu 2.15
11 N 0.2500 0.5774 0.8911  3 Th 2.34-2.48
12 N 0.2500 0.1512 0.8438  1 Pu 2.17


No. 2
Entry from Alexandria: SrZrP2S after structural relaxation (PBE).

Size of the total moment, μB/atom: 0.07
Total energy, eV/atom: -4.1155
Polymorph energy (0 for the lowest one), meV/atom: 1708.5

a = 5.1384 Å, b = 5.1384 Å, c = 5.2141 Å
α = 90.00°, β = 90.00°, γ = 90.00°
With the nearest neighbours (Å) after each atom.
Element x y z (fractional)
1 Sr 0.0000 0.0000 0.0000  4 P 2.57, 2 S 2.61
2 S 0.0000 0.0000 0.5000  2 Sr 2.61
3 Zr 0.5000 0.5000 0.5000  4 S 3.63, 8 P 3.66
4 P 0.0000 0.5000 0.0000  2 Sr 2.57
5 P 0.5000 0.0000 0.0000  2 Sr 2.57


No. 3
Entry from Alexandria: NbS2ClF after structural relaxation (PBE).

Size of the total moment, μB/atom: 0.44
Total energy, eV/atom: -3.9002
Polymorph energy (0 for the lowest one), meV/atom: 1008.0

a = 4.1650 Å, b = 4.1650 Å, c = 5.0608 Å
α = 90.00°, β = 90.00°, γ = 90.00°
With the nearest neighbours (Å) after each atom.
Element x y z (fractional)
1 Nb 0.5000 0.5000 0.5000  4 Cl 2.95, 8 S 3.28
2 F 0.0000 0.0000 0.0000  4 S 2.08
3 S 0.0000 0.5000 0.0000  2 F 2.08
4 S 0.5000 0.0000 0.0000  2 F 2.08
5 Cl 0.0000 0.0000 0.5000  2 F 2.53


No. 4
Entry from Alexandria: Tc2AgRu after structural relaxation (PBE).

Energy relative to the elements, eV per formula unit: 1.840
Size of the total moment, μB/atom: 0.00
Total energy, eV/atom: -7.7548
Polymorph energy (0 for the lowest one), meV/atom: 226.3

a = 2.6779 Å, b = 2.6779 Å, c = 9.5418 Å
α = 90.00°, β = 90.00°, γ = 115.71°
With the nearest neighbours (Å) after each atom.
Element x y z (fractional)
1 Ag 0.5000 0.5000 0.2500  6 Ag 2.68-2.85, 4 Tc 2.91
2 Ru 0.5000 0.5000 0.7500  4 Tc 2.65, 6 Ru 2.68-2.85
3 Tc 0.0000 0.0000 0.9836  2 Ru 2.65, 6 Tc 2.68-2.85, 2 Ag 2.91
4 Tc 0.0000 0.0000 0.5164  2 Ru 2.65, 6 Tc 2.68-2.85, 2 Ag 2.91


No. 5
Entry from Alexandria: SbPC after structural relaxation (PBE).

Size of the total moment, μB/atom: 0.00
Total energy, eV/atom: -5.6936
Polymorph energy (0 for the lowest one), meV/atom: 189.9

a = 3.0225 Å, b = 3.0237 Å, c = 6.8991 Å
α = 90.35°, β = 91.68°, γ = 120.01°
With the nearest neighbours (Å) after each atom.
Element x y z (fractional)
1 Sb 0.2753 0.1032 0.0164  1 P 2.73, 6 Sb 3.02
2 C 0.9911 0.4689 0.4882  3 P 1.82
3 P 0.3170 0.1308 0.4120  3 C 1.82


No. 6
Entry from Alexandria: SrCrTc2Rh after structural relaxation (PBE).

Energy relative to the elements, eV per formula unit: 9.584
Size of the total moment, μB/atom: 0.30
Total energy, eV/atom: -5.9610

a = 4.7160 Å, b = 5.3274 Å, c = 4.7160 Å
α = 90.00°, β = 90.00°, γ = 90.00°
With the nearest neighbours (Å) after each atom.
Element x y z (fractional)
1 Sr 0.0000 0.5000 0.0000  2 Rh 2.66
2 Rh 0.0000 0.0000 0.0000  4 Tc 2.36
3 Tc 0.0000 0.0000 0.5000  2 Rh 2.36
4 Tc 0.5000 0.0000 0.0000  2 Rh 2.36
5 Cr 0.5000 0.5000 0.5000  4 Sr 3.33, 8 Tc 3.56


No. 7
Entry from Alexandria: La2YAl12Fe3 after structural relaxation (PBE).

Energy relative to the elements, eV per formula unit: 1.768
Size of the total moment, μB/atom: 0.00
Total energy, eV/atom: -4.7139

a = 8.0287 Å, b = 8.0287 Å, c = 8.0287 Å
α = 64.39°, β = 64.39°, γ = 64.39°
With the nearest neighbours (Å) after each atom.
Element x y z (fractional)
1 La 0.5817 0.5817 0.5817  1 La 3.10, 3 Al 3.14
2 La 0.4183 0.4183 0.4183  1 La 3.10, 3 Al 3.14
3 Y 0.0000 0.0000 0.0000  12 Al 3.29-3.39
4 Al 0.2698 0.2698 0.9220  2 Fe 2.21
5 Al 0.8385 0.8385 0.4757  1 Fe 2.30
6 Al 0.4757 0.8385 0.8385  1 Fe 2.30
7 Al 0.9220 0.2698 0.2698  2 Fe 2.21
8 Al 0.8385 0.4757 0.8385  1 Fe 2.30
9 Al 0.2698 0.9220 0.2698  2 Fe 2.21
10 Al 0.7302 0.7302 0.0780  2 Fe 2.21
11 Al 0.1615 0.1615 0.5243  1 Fe 2.30
12 Al 0.5243 0.1615 0.1615  1 Fe 2.30
13 Al 0.0780 0.7302 0.7302  2 Fe 2.21
14 Al 0.1615 0.5243 0.1615  1 Fe 2.30
15 Al 0.7302 0.0780 0.7302  2 Fe 2.21
16 Fe 0.5000 0.0000 0.0000  6 Al 2.21-2.30
17 Fe 0.0000 0.5000 0.0000  6 Al 2.21-2.30
18 Fe 0.0000 0.0000 0.5000  6 Al 2.21-2.30


No. 8
Entry from Alexandria: LiLa2InN after structural relaxation (PBE).

Size of the total moment, μB/atom: 0.00
Total energy, eV/atom: -5.2722

a = 5.1250 Å, b = 5.1250 Å, c = 4.4758 Å
α = 90.00°, β = 90.00°, γ = 90.00°
With the nearest neighbours (Å) after each atom.
Element x y z (fractional)
1 N 0.0000 0.0000 0.0000  2 Li 2.24
2 In 0.5000 0.5000 0.5000  8 La 3.40, 4 Li 3.62
3 Li 0.0000 0.0000 0.5000  2 N 2.24
4 La 0.0000 0.5000 0.0000  2 N 2.56
5 La 0.5000 0.0000 0.0000  2 N 2.56


Q: The lowest total energy belongs to which entry?
A: BaPuThN3


Q: Which value of total energy does entry 7 give?
A: -4.7139 eV/atom


Q: Which value of size of the total moment does entry 5 give?
A: 0.00 μB/atom


Q: Look up the size of the total moment of the seventh one.
A: 0.00 μB/atom